(1)
A geometry-optimized Li2GaHg8 structure, computed with PBE.

Geometry as POSCAR:
```
Li2GaHg8
1.0
-2.871 3.365 -2.799
-3.022 -5.857 -3.942
-1.764 0.741 7.595
Li Ga Hg
2 1 8
Direct
0.224 0.643 0.448
0.776 0.357 0.552
0.500 0.000 0.000
0.607 0.458 0.214
0.321 0.076 0.642
0.140 0.205 0.281
0.048 0.725 0.096
0.860 0.795 0.719
0.679 0.924 0.358
0.393 0.542 0.786
0.952 0.275 0.904
```

Computed properties:
* total DFT energy (no corrections): -10.447 eV/cell

=====

(2)
A geometry-optimized Pm2Tm12Sc structure, computed with PBE.

Geometry as POSCAR:
```
Pm2Tm12Sc
1.0
6.273 -1.383 -0.603
-1.383 6.273 -0.603
-1.709 -1.709 25.092
Pm Tm Sc
4 24 2
Direct
0.414 0.914 0.276
0.916 0.416 0.281
0.086 0.586 0.724
0.584 0.084 0.719
0.662 0.653 0.802
0.153 0.162 0.802
0.809 0.841 0.939
0.228 0.728 0.877
0.967 0.966 0.333
0.272 0.772 0.123
0.698 0.198 0.572
0.466 0.467 0.333
0.341 0.309 0.939
0.691 0.659 0.061
0.180 0.173 0.554
0.802 0.302 0.428
0.034 0.033 0.667
0.320 0.327 0.446
0.159 0.191 0.061
0.827 0.820 0.446
0.673 0.680 0.554
0.838 0.847 0.198
0.188 0.688 0.570
0.533 0.534 0.667
0.718 0.218 0.865
0.347 0.338 0.198
0.312 0.812 0.430
0.782 0.282 0.135
0.501 0.001 0.011
0.999 0.499 0.989
```

Computed properties:
* total DFT energy (no corrections): -135.149 eV/cell

=====

What did the first record say?
A geometry-optimized Li2GaHg8 structure, computed with PBE.

Geometry as POSCAR:
```
Li2GaHg8
1.0
-2.871 3.365 -2.799
-3.022 -5.857 -3.942
-1.764 0.741 7.595
Li Ga Hg
2 1 8
Direct
0.224 0.643 0.448
0.776 0.357 0.552
0.500 0.000 0.000
0.607 0.458 0.214
0.321 0.076 0.642
0.140 0.205 0.281
0.048 0.725 0.096
0.860 0.795 0.719
0.679 0.924 0.358
0.393 0.542 0.786
0.952 0.275 0.904
```

Computed properties:
* total DFT energy (no corrections): -10.447 eV/cell

=====

> Which of these has the lowest total DFT energy (no corrections)?

Pm2Tm12Sc

=====

> Which of these has the highest total DFT energy (no corrections)?

Li2GaHg8